Version w
This record from Alexandria via LeMat-Bulk describes a geometry-optimized La3NdTm4 structure. The functional is PBE.

Values from the calculation:
**Symmetry**: Pmn2_1 (31)
**Crystal system**: orthorhombic

Lattice parameters (Å, degrees): 6.3229 7.3064 11.5838 90.00 90.00 90.00
Last column: nearest neighbours and their distance in Å.
Element x y z (fractional)
Tm (0.9800, 0.1179, 0.7505)  6 Tm 3.53-3.60, 1 Nd 3.58, 5 La 3.59-3.72
La (0.4808, 0.3737, 0.2505)  4 La 3.58-3.66, 2 Nd 3.59-3.61, 6 Tm 3.59-3.72
La (0.1469, 0.3705, 0.5000)  4 La 3.58-3.61, 6 Tm 3.58-3.73, 2 Nd 3.69-3.70
Nd (0.1473, 0.3678, 0.0000)  6 Tm 3.55-3.75, 6 La 3.59-3.70
Tm (0.1488, 0.8814, 0.0000)  6 Tm 3.53-3.62, 2 Nd 3.55-3.75, 4 La 3.60-3.67
La (0.6469, 0.6295, 0.0000)  4 La 3.58-3.61, 6 Tm 3.58-3.73, 2 Nd 3.69-3.70
Tm (0.9800, 0.1179, 0.2495)  6 Tm 3.53-3.60, 1 Nd 3.58, 5 La 3.59-3.72
La (0.4808, 0.3737, 0.7495)  4 La 3.58-3.66, 2 Nd 3.59-3.61, 6 Tm 3.59-3.72
Tm (0.4800, 0.8821, 0.2505)  6 Tm 3.53-3.60, 1 Nd 3.58, 5 La 3.59-3.72
Nd (0.6473, 0.6322, 0.5000)  6 Tm 3.55-3.75, 6 La 3.59-3.70
Tm (0.6488, 0.1186, 0.5000)  6 Tm 3.53-3.62, 2 Nd 3.55-3.75, 4 La 3.60-3.67
Tm (0.1506, 0.8803, 0.5000)  6 Tm 3.55-3.62, 4 La 3.58-3.73, 2 Nd 3.63-3.66
La (0.9808, 0.6263, 0.2495)  4 La 3.58-3.66, 2 Nd 3.59-3.61, 6 Tm 3.59-3.72
Tm (0.6506, 0.1197, 0.0000)  6 Tm 3.55-3.62, 4 La 3.58-3.73, 2 Nd 3.63-3.66
La (0.9808, 0.6263, 0.7505)  4 La 3.58-3.66, 2 Nd 3.59-3.61, 6 Tm 3.59-3.72
Tm (0.4800, 0.8821, 0.7495)  6 Tm 3.53-3.60, 1 Nd 3.58, 5 La 3.59-3.72



Version x
This record from Alexandria via LeMat-Bulk describes a geometry-optimized La3NdTm4 structure. The functional is PBE.

Values from the calculation:
**Symmetry**: Immm (71)
**Crystal system**: orthorhombic

Lattice parameters (Å, degrees): 3.4612 9.0250 9.0250 81.54 78.94 78.95
Last column: nearest neighbours and their distance in Å.
Element x y z (fractional)
Tm (0.6350, 0.1129, 0.6171)  3 La 3.38-3.69, 1 Nd 3.42, 5 Tm 3.46-3.57
Nd (0.5000, 0.0000, 0.0000)  4 Tm 3.42, 2 Nd 3.46, 4 La 3.65
Tm (0.3650, 0.8871, 0.3829)  3 La 3.38-3.69, 1 Nd 3.42, 5 Tm 3.46-3.57
Tm (0.6350, 0.6171, 0.1129)  3 La 3.38-3.69, 1 Nd 3.42, 5 Tm 3.46-3.57
La (0.7567, 0.2433, 0.2433)  6 Tm 3.38-3.69, 2 La 3.46, 2 Nd 3.65
La (0.0000, 0.5000, 0.5000)  6 La 3.46-3.81, 8 Tm 3.87
La (0.2433, 0.7567, 0.7567)  6 Tm 3.38-3.69, 2 La 3.46, 2 Nd 3.65
Tm (0.3650, 0.3829, 0.8871)  3 La 3.38-3.69, 1 Nd 3.42, 5 Tm 3.46-3.57



Most stable of them? version w.



Version w
This record from Alexandria via LeMat-Bulk describes a geometry-optimized La4Nd5Tm2 structure. The functional is PBE.

Values from the calculation:
**Symmetry**: C2/m (12)
**Crystal system**: monoclinic

Lattice parameters (Å, degrees): 3.5988 11.9126 9.1880 94.01 101.29 90.00
Last column: nearest neighbours and their distance in Å.
Element x y z (fractional)
Nd (0.5000, 0.0000, 0.0000)  6 Nd 3.60-3.75, 6 La 3.65-3.67
La (0.6422, 0.7941, 0.2843)  6 Nd 3.48-3.81, 4 La 3.60-3.79, 2 Tm 3.73
Tm (0.2831, 0.6359, 0.5662)  3 Nd 3.48-3.59, 4 Tm 3.60-3.82, 4 La 3.73-3.76
Tm (0.7169, 0.3641, 0.4338)  3 Nd 3.48-3.59, 4 Tm 3.60-3.82, 4 La 3.73-3.76
Nd (0.8208, 0.9255, 0.6415)  4 La 3.47-3.81, 6 Nd 3.60-3.75
Nd (0.9035, 0.4614, 0.8069)  4 La 3.36-3.58, 3 Tm 3.48-3.59, 3 Nd 3.54-3.60
La (0.9586, 0.7366, 0.9172)  5 Nd 3.36-3.65, 2 La 3.60, 2 Tm 3.76
Nd (0.1792, 0.0745, 0.3585)  4 La 3.47-3.81, 6 Nd 3.60-3.75
La (0.3578, 0.2059, 0.7157)  6 Nd 3.48-3.81, 4 La 3.60-3.79, 2 Tm 3.73
La (0.0414, 0.2634, 0.0828)  5 Nd 3.36-3.65, 2 La 3.60, 2 Tm 3.76
Nd (0.0965, 0.5386, 0.1931)  4 La 3.36-3.58, 3 Tm 3.48-3.59, 3 Nd 3.54-3.60



Version x
This record from Alexandria via LeMat-Bulk describes a geometry-optimized La4Nd5Tm2 structure. The functional is PBE.

Values from the calculation:
**Symmetry**: Immm (71)
**Crystal system**: orthorhombic

Lattice parameters (Å, degrees): 3.5451 9.6151 12.6407 112.35 98.06 90.00
Last column: nearest neighbours and their distance in Å.
Element x y z (fractional)
Nd (0.8461, 0.0528, 0.6921)  3 Tm 3.36-3.75, 2 Nd 3.55, 3 La 3.62-3.65
Nd (0.8461, 0.6393, 0.6921)  3 Tm 3.36-3.75, 2 Nd 3.55, 3 La 3.62-3.65
Nd (0.5000, 0.0000, 0.0000)  4 La 3.30, 2 Nd 3.55
La (0.5929, 0.5929, 0.1858)  1 Tm 3.14, 4 La 3.44
Nd (0.1539, 0.3607, 0.3079)  3 Tm 3.36-3.75, 2 Nd 3.55, 3 La 3.62-3.65
Nd (0.1539, 0.9472, 0.3079)  3 Tm 3.36-3.75, 2 Nd 3.55, 3 La 3.62-3.65
La (0.0000, 0.7105, 0.0000)  4 Nd 3.30-3.65, 6 La 3.44-3.55
La (0.0000, 0.2895, 0.0000)  4 Nd 3.30-3.65, 6 La 3.44-3.55
La (0.4071, 0.4071, 0.8142)  1 Tm 3.14, 4 La 3.44
Tm (0.7286, 0.7286, 0.4572)  1 La 3.14, 2 Nd 3.36
Tm (0.2714, 0.2714, 0.5428)  1 La 3.14, 2 Nd 3.36



Most stable of them? version w.



Version w
This record from Alexandria via LeMat-Bulk describes a geometry-optimized LaNdTm4 structure. The functional is PBE.

Values from the calculation:
**Symmetry**: C2/c (15)
**Crystal system**: monoclinic

Lattice parameters (Å, degrees): 6.4579 9.1234 8.5902 112.40 99.44 113.52
Last column: nearest neighbours and their distance in Å.
Element x y z (fractional)
La (0.6675, 0.4175, 0.8351)  8 Tm 3.52-3.80
Tm (0.3711, 0.8984, 0.6108)  4 Tm 3.28-3.43, 2 Nd 3.33-3.44
Nd (0.7574, 0.0074, 0.0148)  2 Nd 3.24, 6 Tm 3.33-3.50
Tm (0.6289, 0.1016, 0.3892)  4 Tm 3.28-3.43, 2 Nd 3.33-3.44
Tm (0.8141, 0.4341, 0.2777)  4 Tm 3.28-3.60, 1 Nd 3.50, 1 La 3.52
Tm (0.2603, 0.2876, 0.3892)  4 Tm 3.28-3.43, 2 Nd 3.33-3.44
Tm (0.1859, 0.5659, 0.7223)  4 Tm 3.28-3.60, 1 Nd 3.50, 1 La 3.52
Tm (0.7397, 0.7124, 0.6108)  4 Tm 3.28-3.43, 2 Nd 3.33-3.44
La (0.3325, 0.5825, 0.1649)  8 Tm 3.52-3.80
Nd (0.2426, 0.9926, 0.9852)  2 Nd 3.24, 6 Tm 3.33-3.50
Tm (0.0363, 0.1564, 0.7223)  4 Tm 3.28-3.60, 1 Nd 3.50, 1 La 3.52
Tm (0.9637, 0.8436, 0.2777)  4 Tm 3.28-3.60, 1 Nd 3.50, 1 La 3.52



Version x
This record from Alexandria via LeMat-Bulk describes a geometry-optimized LaNdTm4 structure. The functional is PBE.

Values from the calculation:
**Symmetry**: P2/m (10)
**Crystal system**: monoclinic

Lattice parameters (Å, degrees): 5.0155 7.1490 11.2764 71.47 90.00 90.00
Last column: nearest neighbours and their distance in Å.
Element x y z (fractional)
La (0.0000, 0.2500, 0.0000)  10 Tm 3.56-3.58, 2 La 3.57
Tm (0.0000, 0.0840, 0.3328)  7 Tm 3.53-3.57, 1 La 3.56, 4 Nd 3.56
Tm (0.5000, 0.0853, 0.8291)  1 Nd 3.52, 7 Tm 3.53-3.66, 4 La 3.58
Nd (0.5000, 0.7500, 0.5000)  10 Tm 3.52-3.56, 2 Nd 3.57
Tm (0.5000, 0.4147, 0.1709)  1 Nd 3.52, 7 Tm 3.53-3.66, 4 La 3.58
La (0.0000, 0.7500, 0.0000)  10 Tm 3.56-3.58, 2 La 3.57
Tm (0.0000, 0.5840, 0.3328)  7 Tm 3.53-3.57, 1 La 3.56, 4 Nd 3.56
Nd (0.5000, 0.2500, 0.5000)  10 Tm 3.52-3.56, 2 Nd 3.57
Tm (0.5000, 0.9147, 0.1709)  1 Nd 3.52, 7 Tm 3.53-3.66, 4 La 3.58
Tm (0.0000, 0.4160, 0.6672)  7 Tm 3.53-3.57, 1 La 3.56, 4 Nd 3.56
Tm (0.0000, 0.9160, 0.6672)  7 Tm 3.53-3.57, 1 La 3.56, 4 Nd 3.56
Tm (0.5000, 0.5853, 0.8291)  1 Nd 3.52, 7 Tm 3.53-3.66, 4 La 3.58



Most stable of them? version x.



Version w
This record from Alexandria via LeMat-Bulk describes a geometry-optimized La4Nd2Tm3 structure. The functional is PBE.

Values from the calculation:
**Symmetry**: P3m1 (156)
**Crystal system**: trigonal

Lattice parameters (Å, degrees): 3.6335 3.6335 27.3468 90.00 90.00 120.00
Last column: nearest neighbours and their distance in Å.
Element x y z (fractional)
Tm (0.6667, 0.3333, 0.6543)  6 La 3.57-3.58, 6 Tm 3.63
Nd (0.6667, 0.3333, 0.0844)  3 Tm 3.50, 6 Nd 3.63, 1 La 3.66
Tm (0.0000, 0.0000, 0.3226)  6 La 3.54-3.58, 6 Tm 3.63
La (0.0000, 0.0000, 0.5487)  3 Tm 3.57, 9 La 3.63-3.90
Tm (0.0000, 0.0000, 0.9820)  6 Nd 3.50-3.54, 6 Tm 3.63
La (0.6667, 0.3333, 0.4287)  3 Tm 3.58, 9 La 3.63-3.90
La (0.6667, 0.3333, 0.2182)  3 Tm 3.54, 6 La 3.63, 1 Nd 3.66
La (0.0000, 0.0000, 0.7605)  3 Tm 3.58, 6 La 3.63, 3 Nd 3.83
Nd (0.6667, 0.3333, 0.8777)  3 Tm 3.54, 6 Nd 3.63, 3 La 3.83



Version x
This record from Alexandria via LeMat-Bulk describes a geometry-optimized La4Nd2Tm3 structure. The functional is PBE.

Values from the calculation:
**Symmetry**: C2/c (15)
**Crystal system**: monoclinic

Lattice parameters (Å, degrees): 6.0948 10.4135 10.4135 70.16 83.50 83.50
Last column: nearest neighbours and their distance in Å.
Element x y z (fractional)
La (0.6229, 0.8379, 0.6162)  2 Nd 3.36-3.55, 4 Tm 3.49-3.56, 2 La 3.55-3.69
La (0.4609, 0.9512, 0.1742)  3 La 3.41-3.56, 4 Tm 3.49-3.58, 1 Nd 3.73
Nd (0.8001, 0.2875, 0.5051)  3 La 3.36-3.73, 4 Tm 3.48-3.59, 1 Nd 3.50
Tm (0.7500, 0.6451, 0.3549)  6 Nd 3.49-3.59, 4 La 3.49-3.86
Nd (0.1999, 0.7125, 0.4949)  3 La 3.36-3.73, 4 Tm 3.48-3.59, 1 Nd 3.50
Tm (0.4201, 0.3159, 0.0211)  2 Nd 3.48-3.88, 7 La 3.49-3.58
Tm (0.2500, 0.3549, 0.6451)  6 Nd 3.49-3.59, 4 La 3.49-3.86
Nd (0.6999, 0.4949, 0.7125)  3 La 3.36-3.73, 4 Tm 3.48-3.59, 1 Nd 3.50
La (0.8771, 0.3838, 0.1621)  2 Nd 3.36-3.55, 4 Tm 3.49-3.56, 2 La 3.55-3.69
Nd (0.3001, 0.5051, 0.2875)  3 La 3.36-3.73, 4 Tm 3.48-3.59, 1 Nd 3.50
La (0.1229, 0.6162, 0.8379)  2 Nd 3.36-3.55, 4 Tm 3.49-3.56, 2 La 3.55-3.69
Tm (0.9201, 0.0211, 0.3159)  2 Nd 3.48-3.88, 7 La 3.49-3.58
La (0.9609, 0.1742, 0.9512)  3 La 3.41-3.56, 4 Tm 3.49-3.58, 1 Nd 3.73
Tm (0.5799, 0.6841, 0.9789)  2 Nd 3.48-3.88, 7 La 3.49-3.58
La (0.3771, 0.1621, 0.3838)  2 Nd 3.36-3.55, 4 Tm 3.49-3.56, 2 La 3.55-3.69
La (0.0391, 0.8258, 0.0488)  3 La 3.41-3.56, 4 Tm 3.49-3.58, 1 Nd 3.73
Tm (0.0799, 0.9789, 0.6841)  2 Nd 3.48-3.88, 7 La 3.49-3.58
La (0.5391, 0.0488, 0.8258)  3 La 3.41-3.56, 4 Tm 3.49-3.58, 1 Nd 3.73



Most stable of them? version w.



Version w
This record from Alexandria via LeMat-Bulk describes a geometry-optimized LaNd6Tm4 structure. The functional is PBE.

Values from the calculation:
**Symmetry**: Cmcm (63)
**Crystal system**: orthorhombic

Lattice parameters (Å, degrees): 5.8693 5.6836 26.0444 90.00 90.00 121.09
Last column: nearest neighbours and their distance in Å.
Element x y z (fractional)
Tm (0.1533, 0.3066, 0.4564)  8 Nd 3.48-3.68, 2 Tm 3.67-3.75
Tm (0.5375, 0.0750, 0.6241)  8 Nd 3.25-3.64
Nd (0.5000, 0.0000, 0.5000)  8 Tm 3.25-3.56
Tm (0.1533, 0.3066, 0.0436)  8 Nd 3.48-3.68, 2 Tm 3.67-3.75
Nd (0.1952, 0.3905, 0.9031)  7 Tm 3.39-3.68
Nd (0.1274, 0.2547, 0.3204)  4 Tm 3.55-3.64, 5 Nd 3.67-3.85, 3 La 3.73-3.82
Nd (0.8048, 0.6095, 0.0969)  7 Tm 3.39-3.68
Nd (0.1952, 0.3905, 0.5969)  7 Tm 3.39-3.68
Tm (0.8467, 0.6934, 0.5436)  8 Nd 3.48-3.68, 2 Tm 3.67-3.75
Tm (0.8467, 0.6934, 0.9564)  8 Nd 3.48-3.68, 2 Tm 3.67-3.75
La (0.2060, 0.4120, 0.7500)  3 Nd 3.31-3.32
Nd (0.5459, 0.0919, 0.7500)  2 Tm 3.28, 3 La 3.31-3.32, 2 Nd 3.67
Tm (0.4625, 0.9250, 0.1241)  8 Nd 3.25-3.64
Nd (0.4541, 0.9081, 0.2500)  2 Tm 3.28, 3 La 3.31-3.32, 2 Nd 3.67
La (0.7940, 0.5880, 0.2500)  3 Nd 3.31-3.32
Nd (0.8726, 0.7453, 0.8204)  4 Tm 3.55-3.64, 5 Nd 3.67-3.85, 3 La 3.73-3.82
Nd (0.5000, 0.0000, 0.0000)  8 Tm 3.25-3.56
Tm (0.4625, 0.9250, 0.3759)  8 Nd 3.25-3.64
Nd (0.8048, 0.6095, 0.4031)  7 Tm 3.39-3.68
Nd (0.8726, 0.7453, 0.6796)  4 Tm 3.55-3.64, 5 Nd 3.67-3.85, 3 La 3.73-3.82
Nd (0.1274, 0.2547, 0.1796)  4 Tm 3.55-3.64, 5 Nd 3.67-3.85, 3 La 3.73-3.82
Tm (0.5375, 0.0750, 0.8759)  8 Nd 3.25-3.64



Version x
This record from Alexandria via LeMat-Bulk describes a geometry-optimized LaNd6Tm4 structure. The functional is PBE.

Values from the calculation:
**Symmetry**: P-6m2 (187)
**Crystal system**: hexagonal

Lattice parameters (Å, degrees): 3.5849 11.1357 11.1357 120.00 90.00 90.00
Last column: nearest neighbours and their distance in Å.
Element x y z (fractional)
Tm (0.5000, 0.3271, 0.1636)  6 Nd 3.36-3.55, 2 Tm 3.58, 2 La 3.63
Nd (0.5000, 0.1831, 0.8169)  4 Tm 3.36-3.41, 2 Nd 3.58
Nd (0.0000, 0.5216, 0.4784)  5 Tm 3.55-3.63, 6 Nd 3.58-3.78
Tm (0.5000, 0.8364, 0.6729)  6 Nd 3.36-3.55, 2 Tm 3.58, 2 La 3.63
Nd (0.5000, 0.1831, 0.3662)  4 Tm 3.36-3.41, 2 Nd 3.58
Tm (0.0000, 0.3333, 0.6667)  9 Nd 3.41-3.63, 2 Tm 3.58
Nd (0.0000, 0.9569, 0.4784)  5 Tm 3.55-3.63, 6 Nd 3.58-3.78
Nd (0.0000, 0.5216, 0.0431)  5 Tm 3.55-3.63, 6 Nd 3.58-3.78
Nd (0.5000, 0.6338, 0.8169)  4 Tm 3.36-3.41, 2 Nd 3.58
La (0.0000, 0.0000, 0.0000)  2 La 3.58, 6 Tm 3.63, 6 Nd 3.96
Tm (0.5000, 0.8364, 0.1636)  6 Nd 3.36-3.55, 2 Tm 3.58, 2 La 3.63



Most stable of them? version w.



Version w
This record from Alexandria via LeMat-Bulk describes a geometry-optimized La2Nd7Tm3 structure. The functional is PBE.

Values from the calculation:
**Symmetry**: P2/m (10)
**Crystal system**: monoclinic

Lattice parameters (Å, degrees): 3.6509 5.9467 19.1933 93.84 90.00 90.00
Last column: nearest neighbours and their distance in Å.
Element x y z (fractional)
Nd (0.5000, 0.1742, 0.1782)  6 Nd 3.53-3.65, 2 La 3.76
Tm (0.0000, 0.7851, 0.6294)  6 Nd 3.65-3.95, 2 Tm 3.65, 4 La 3.75-3.76
Nd (0.0000, 0.6721, 0.1424)  2 Tm 3.39, 7 Nd 3.46-3.65, 2 La 3.50
Tm (0.5000, 0.5000, 0.0000)  8 Nd 3.39-3.49, 2 Tm 3.65
Nd (0.0000, 0.3279, 0.8576)  2 Tm 3.39, 7 Nd 3.46-3.65, 2 La 3.50
Tm (0.0000, 0.2149, 0.3706)  6 Nd 3.65-3.95, 2 Tm 3.65, 4 La 3.75-3.76
Nd (0.5000, 0.8258, 0.8218)  6 Nd 3.53-3.65, 2 La 3.76
La (0.5000, 0.6999, 0.2983)  3 Nd 3.18-3.50
Nd (0.5000, 0.7415, 0.4646)  1 La 3.18, 2 Nd 3.26-3.28
La (0.5000, 0.3001, 0.7017)  3 Nd 3.18-3.50
Nd (0.5000, 0.2585, 0.5354)  1 La 3.18, 2 Nd 3.26-3.28
Nd (0.0000, 0.0000, 0.0000)  4 Nd 3.46-3.65, 4 Tm 3.49



Version x
This record from Alexandria via LeMat-Bulk describes a geometry-optimized La2Nd7Tm3 structure. The functional is PBE.

Values from the calculation:
**Symmetry**: P2/m (10)
**Crystal system**: monoclinic

Lattice parameters (Å, degrees): 3.5875 6.5088 18.2888 74.99 90.00 90.00
Last column: nearest neighbours and their distance in Å.
Element x y z (fractional)
Nd (0.5000, 0.7635, 0.4953)  2 Nd 3.13-3.39, 2 La 3.42-3.48
Tm (0.0000, 0.1134, 0.3417)  2 Tm 3.59, 7 Nd 3.60-3.76, 4 La 3.66-3.79
La (0.5000, 0.6104, 0.3301)  5 Nd 3.42-3.64, 2 La 3.59, 4 Tm 3.66-3.79
Nd (0.0000, 0.0000, 0.0000)  8 Nd 3.57-3.69, 4 Tm 3.72
Tm (0.5000, 0.5000, 0.0000)  10 Nd 3.58-3.72, 2 Tm 3.59
Tm (0.0000, 0.8866, 0.6583)  2 Tm 3.59, 7 Nd 3.60-3.76, 4 La 3.66-3.79
La (0.5000, 0.3896, 0.6699)  5 Nd 3.42-3.64, 2 La 3.59, 4 Tm 3.66-3.79
Nd (0.5000, 0.9400, 0.8304)  1 La 3.57, 8 Nd 3.59-3.76, 3 Tm 3.64-3.72
Nd (0.0000, 0.4432, 0.8370)  7 Nd 3.57-3.76, 3 Tm 3.58-3.76, 2 La 3.64
Nd (0.5000, 0.2365, 0.5047)  2 Nd 3.13-3.39, 2 La 3.42-3.48
Nd (0.5000, 0.0600, 0.1696)  1 La 3.57, 8 Nd 3.59-3.76, 3 Tm 3.64-3.72
Nd (0.0000, 0.5568, 0.1630)  7 Nd 3.57-3.76, 3 Tm 3.58-3.76, 2 La 3.64



Most stable of them? version x.